# 1
Mg3NbPt after structural relaxation. Source: Alexandria, functional GGA-PBE.

Lattice parameters (Å, degrees): 4.9331 4.9331 4.9331 90.00 90.00 90.00
Site moments in Bohr magnetons follow the coordinates.
Fractional coordinates of all 5 atoms:
Nb (0.5000, 0.5000, 0.5000)  2.58
Mg (0.0000, 0.5000, 0.0000)  -0.02
Mg (0.0000, 0.0000, 0.5000)  -0.02
Mg (0.5000, 0.0000, 0.0000)  -0.02
Pt (0.0000, 0.0000, 0.0000)  0.10

* electronic total energy: -3.7977 eV/atom
* formation energy: 0.381 eV/atom
* N(E_F): 3.57 states/eV/f.u.
* crystal system: cubic

# 2
SrMg2Zn6 after structural relaxation. Source: Alexandria, functional GGA-PBE.

Lattice parameters (Å, degrees): 4.1487 7.5329 7.5329 57.72 74.02 74.02
Fractional coordinates of all 9 atoms:
Sr (0.0000, 0.0000, 0.0000)
Mg (0.8741, 0.6259, 0.6259)
Mg (0.1259, 0.3741, 0.3741)
Zn (0.6883, 0.0195, 0.6040)
Zn (0.3117, 0.9805, 0.3960)
Zn (0.3117, 0.3960, 0.9805)
Zn (0.5000, 0.6699, 0.3301)
Zn (0.5000, 0.3301, 0.6699)
Zn (0.6883, 0.6040, 0.0195)

* electronic total energy: -1.5004 eV/atom
* formation energy: -0.110 eV/atom
* N(E_F): 2.82 states/eV/f.u.
* crystal system: orthorhombic

# 3
Li2CeZnAu4 after structural relaxation. Source: Alexandria, functional GGA-PBE.

Lattice parameters (Å, degrees): 4.5041 4.5041 8.9904 75.49 75.49 60.00
Site moments in Bohr magnetons follow the coordinates.
Fractional coordinates of all 8 atoms:
Li (0.7651, 0.7651, 0.7048)  0.00
Li (0.2349, 0.2349, 0.2952)  0.00
Ce (0.0000, 0.0000, 0.0000)  0.73
Zn (0.5000, 0.5000, 0.5000)  0.00
Au (0.3976, 0.3976, 0.8071)  -0.01
Au (0.8724, 0.8724, 0.3829)  0.00
Au (0.1276, 0.1276, 0.6171)  0.00
Au (0.6024, 0.6024, 0.1929)  -0.01

* electronic total energy: -3.5322 eV/atom
* formation energy: -0.514 eV/atom
* N(E_F): 8.10 states/eV/f.u.
* crystal system: trigonal

# 4
Ba2ZrSn2 after structural relaxation. Source: Alexandria, functional GGA-PBE.

Lattice parameters (Å, degrees): 8.0108 8.0108 5.5222 90.00 90.00 90.00
Fractional coordinates of all 10 atoms:
Ba (0.1706, 0.6706, 0.5000)
Ba (0.6706, 0.8294, 0.5000)
Ba (0.8294, 0.3294, 0.5000)
Ba (0.3294, 0.1706, 0.5000)
Zr (0.0000, 0.0000, 0.0000)
Zr (0.5000, 0.5000, 0.0000)
Sn (0.3644, 0.8644, 0.0000)
Sn (0.8644, 0.6356, 0.0000)
Sn (0.6356, 0.1356, 0.0000)
Sn (0.1356, 0.3644, 0.0000)

* electronic total energy: -4.3716 eV/atom
* formation energy: -0.292 eV/atom
* N(E_F): 4.70 states/eV/f.u.
* crystal system: tetragonal

# 5
Sm2TlO after structural relaxation. Source: Alexandria, functional GGA-PBE.

Lattice parameters (Å, degrees): 4.6404 4.6404 9.0442 90.10 90.10 90.00
Fractional coordinates of all 8 atoms:
Sm (0.7509, 0.7509, 0.8310)
Sm (0.7500, 0.2500, 0.5000)
Sm (0.2491, 0.2491, 0.1690)
Sm (0.2500, 0.7500, 0.5000)
Tl (0.2511, 0.2511, 0.8025)
Tl (0.7489, 0.7489, 0.1975)
O (0.2496, 0.2496, 0.4266)
O (0.7504, 0.7504, 0.5734)

* electronic total energy: -5.7706 eV/atom
* N(E_F): 3.75 states/eV/f.u.
* formation energy from raw total energies: -1580 meV/atom
* crystal system: monoclinic

# 6
KGaPb after structural relaxation. Source: Alexandria, functional GGA-PBE.

Lattice parameters (Å, degrees): 17.0851 17.0851 3.4035 90.00 90.00 12.58
Fractional coordinates of all 6 atoms:
Pb (0.3437, 0.3437, 0.5000)
Pb (0.6563, 0.6563, 0.5000)
K (0.5615, 0.5615, 0.0000)
K (0.4385, 0.4385, 0.0000)
Ga (0.7778, 0.7778, 0.5000)
Ga (0.2222, 0.2222, 0.5000)

* electronic total energy: -2.4245 eV/atom
* formation energy: 0.186 eV/atom
* N(E_F): 1.77 states/eV/f.u.
* crystal system: orthorhombic

# 7
Cd2CoBr after structural relaxation. Source: Alexandria, functional GGA-PBE.

Lattice parameters (Å, degrees): 4.9453 4.9453 4.9453 60.00 60.00 60.00
Site moments in Bohr magnetons follow the coordinates.
Fractional coordinates of all 4 atoms:
Br (0.5000, 0.5000, 0.5000)  0.04
Cd (0.0000, 0.0000, 0.0000)  0.00
Cd (0.2500, 0.2500, 0.2500)  0.01
Co (0.7500, 0.7500, 0.7500)  1.64

* electronic total energy: -2.0297 eV/atom
* N(E_F): 8.34 states/eV/f.u.
* formation energy from raw total energies: 623 meV/atom
* crystal system: cubic

# 8
ZrCr2Fe after structural relaxation. Source: Alexandria, functional GGA-PBE.

Lattice parameters (Å, degrees): 3.9766 3.8747 3.8747 90.00 90.00 90.00
Site moments in Bohr magnetons follow the coordinates.
Fractional coordinates of all 4 atoms:
Cr (0.0000, 0.0000, 0.0000)  2.08
Cr (0.0000, 0.5000, 0.5000)  2.08
Fe (0.5000, 0.5000, 0.0000)  2.00
Zr (0.5000, 0.0000, 0.5000)  -0.11

* electronic total energy: -8.6415 eV/atom
* formation energy: 0.423 eV/atom
* N(E_F): 6.85 states/eV/f.u.
* crystal system: tetragonal

What is the formula in the third record?
Li2CeZnAu4